Cs4Br3Cl | PBE | relaxed

a b c (Å): 5.161 8.964 8.964
angles (deg): 109.31 90.00 90.00
Site moments in Bohr magnetons follow the coordinates.
Fractional coordinates of all 8 atoms:
Cs  0.000  0.759  0.759  0.00
Cs  0.500  0.246  0.754  0.00
Cs  0.000  0.241  0.241  0.00
Cs  0.500  0.754  0.246  0.00
Br  0.000  0.000  0.500  0.02
Br  0.500  0.500  0.500  0.10
Br  0.000  0.500  0.000  0.02
Cl  0.500  0.000  0.000  0.01

Values from the calculation:
Uncorrected formation energy ... -1.8280 eV per atom